## UTiHgO6 (PBE-GGA)

Data for UTiHgO6 after structural relaxation.

For the uncorrected formation energy, the calculation gives -2398 meV per atom. The volume is 14.038 A^3/atom.

It has space group P-31c (No. 163), with a = 5.4814 Å, b = 5.4814 Å, c = 9.7110 Å, α = 90.00°, β = 90.00° and γ = 120.00°. The inequivalent atoms are U at (0.3333, 0.6667, 0.2500), Ti at (0.3333, 0.6667, 0.7500), Hg at (0.0000, 0.0000, 0.0000) and O at (0.0140, 0.3742, 0.6415).